{"formula": "GdZrTl", "functional": "GGA-PBE", "state": "optimized geometry", "relative_energy_ev_per_atom": 0.000, "space_group": "No. 216", "lattice_angstrom": [[0.0000, 3.5443, 3.5443], [3.5443, 0.0000, 3.5443], [3.5443, 3.5443, 0.0000]], "species": ["Gd", "Tl", "Zr"], "frac_coords": [[0.2500, 0.2500, 0.2500], [0.0000, 0.0000, 0.0000], [0.7500, 0.7500, 0.7500]]}